Entry from Alexandria: an optimized crystal structure of Na2MnAs2O6 (GGA+U).

Computed properties:
Volume in Å³ per atom: 13.50
Total DFT energy (no corrections) in eV/atom: -5.822

a = 5.4596 Å, b = 5.4596 Å, c = 5.7524 Å
α = 90.00°, β = 90.00°, γ = 120.00°
Atoms (fractional coordinates):
Na: 0.3333 0.6667 0.4441
Na: 0.6667 0.3333 0.5559
O: 0.6631 0.8357 0.7961
O: 0.1643 0.8275 0.7961
O: 0.8275 0.6631 0.2039
O: 0.3369 0.1643 0.2039
O: 0.1725 0.3369 0.7961
O: 0.8357 0.1725 0.2039
As: 0.3333 0.6667 0.9595
As: 0.6667 0.3333 0.0405
Mn: 0.0000 0.0000 0.0000